Version P
# RbCaRh3, relaxed, DFT PBE
data_RbCaRh3
_chemical_formula_sum 'Rb1 Ca1 Rh3'
_cell_length_a 4.938
_cell_length_b 4.938
_cell_length_c 4.938
_cell_angle_alpha 90.00
_cell_angle_beta 90.00
_cell_angle_gamma 90.00
_space_group_name_H-M_alt 'P m -3 m'
_space_group_IT_number 221
_space_group_name_Hall '-P 4 2 3'
loop_
_atom_site_label
_atom_site_type_symbol
_atom_site_fract_x
_atom_site_fract_y
_atom_site_fract_z
Rb1 Rb 0.000 0.000 0.000
Ca1 Ca 0.500 0.500 0.500
Rh1 Rh 0.000 0.000 0.500
# crystal system: cubic
# V: 24.08 Å³ per atom
# M_tot: 1.3 Bohr magnetons per cell


Version Q
# RbCaRh3, relaxed, DFT PBE
data_RbCaRh3
_chemical_formula_sum 'Rb1 Ca1 Rh3'
_cell_length_a 5.090
_cell_length_b 5.090
_cell_length_c 5.090
_cell_angle_alpha 90.00
_cell_angle_beta 90.00
_cell_angle_gamma 90.00
_space_group_name_H-M_alt 'P m -3 m'
_space_group_IT_number 221
_space_group_name_Hall '-P 4 2 3'
loop_
_atom_site_label
_atom_site_type_symbol
_atom_site_fract_x
_atom_site_fract_y
_atom_site_fract_z
Rb1 Rb 0.000 0.000 0.000
Ca1 Ca 0.500 0.500 0.500
Rh1 Rh 0.000 0.500 0.500
# crystal system: cubic
# V: 26.38 Å³ per atom
# M_tot: 1.9 Bohr magnetons per cell


What should be chosen as the most stable of them? Choose version Q.


Version P
# RbCa3Ru, relaxed, DFT PBE
data_RbCa3Ru
_chemical_formula_sum 'Rb1 Ca3 Ru1'
_cell_length_a 5.490
_cell_length_b 5.490
_cell_length_c 5.490
_cell_angle_alpha 90.00
_cell_angle_beta 90.00
_cell_angle_gamma 90.00
_space_group_name_H-M_alt 'P m -3 m'
_space_group_IT_number 221
_space_group_name_Hall '-P 4 2 3'
loop_
_atom_site_label
_atom_site_type_symbol
_atom_site_fract_x
_atom_site_fract_y
_atom_site_fract_z
Rb1 Rb 0.000 0.000 0.000
Ca1 Ca 0.000 0.000 0.500
Ru1 Ru 0.500 0.500 0.500
# crystal system: cubic
# V: 33.09 Å³ per atom
# M_tot: 0.0 Bohr magnetons per cell


Version Q
# RbCa3Ru, relaxed, DFT PBE
data_RbCa3Ru
_chemical_formula_sum 'Rb1 Ca3 Ru1'
_cell_length_a 5.727
_cell_length_b 5.727
_cell_length_c 5.727
_cell_angle_alpha 90.00
_cell_angle_beta 90.00
_cell_angle_gamma 90.00
_space_group_name_H-M_alt 'P m -3 m'
_space_group_IT_number 221
_space_group_name_Hall '-P 4 2 3'
loop_
_atom_site_label
_atom_site_type_symbol
_atom_site_fract_x
_atom_site_fract_y
_atom_site_fract_z
Rb1 Rb 0.000 0.000 0.000
Ca1 Ca 0.000 0.500 0.500
Ru1 Ru 0.500 0.500 0.500
# crystal system: cubic
# V: 37.57 Å³ per atom
# M_tot: 0.0 Bohr magnetons per cell


What should be chosen as the most stable of them? Choose version Q.


Version P
# Rb2Ca2Ru, relaxed, DFT PBE
data_Rb2Ca2Ru
_chemical_formula_sum 'Rb4 Ca4 Ru2'
_cell_length_a 4.839
_cell_length_b 4.839
_cell_length_c 22.715
_cell_angle_alpha 90.00
_cell_angle_beta 90.00
_cell_angle_gamma 90.00
_space_group_name_H-M_alt 'I 4/m m m'
_space_group_IT_number 139
_space_group_name_Hall '-I 4 2'
loop_
_atom_site_label
_atom_site_type_symbol
_atom_site_fract_x
_atom_site_fract_y
_atom_site_fract_z
Rb1 Rb 0.000 0.000 0.082
Ca1 Ca 0.000 0.500 0.250
Ru1 Ru 0.000 0.000 0.500
# crystal system: tetragonal
# V: 53.19 Å³ per atom
# M_tot: 4.7 Bohr magnetons per cell


Version Q
# Rb2Ca2Ru, relaxed, DFT PBE
data_Rb2Ca2Ru
_chemical_formula_sum 'Rb4 Ca4 Ru2'
_cell_length_a 7.931
_cell_length_b 7.931
_cell_length_c 6.235
_cell_angle_alpha 90.00
_cell_angle_beta 90.00
_cell_angle_gamma 90.00
_space_group_name_H-M_alt 'P 4/m b m'
_space_group_IT_number 127
_space_group_name_Hall '-P 4 2ab'
loop_
_atom_site_label
_atom_site_type_symbol
_atom_site_fract_x
_atom_site_fract_y
_atom_site_fract_z
Rb1 Rb 0.147 0.353 0.000
Ca1 Ca 0.196 0.696 0.500
Ru1 Ru 0.000 0.000 0.000
# crystal system: tetragonal
# V: 39.22 Å³ per atom
# M_tot: 0.0 Bohr magnetons per cell


What should be chosen as the most stable of them? Choose version Q.


Version P
# Rb2CaRu2, relaxed, DFT PBE
data_Rb2CaRu2
_chemical_formula_sum 'Rb4 Ca2 Ru4'
_cell_length_a 4.651
_cell_length_b 4.651
_cell_length_c 15.306
_cell_angle_alpha 90.00
_cell_angle_beta 90.00
_cell_angle_gamma 90.00
_space_group_name_H-M_alt 'I 4/m m m'
_space_group_IT_number 139
_space_group_name_Hall '-I 4 2'
loop_
_atom_site_label
_atom_site_type_symbol
_atom_site_fract_x
_atom_site_fract_y
_atom_site_fract_z
Rb1 Rb 0.000 0.500 0.250
Ca1 Ca 0.000 0.000 0.000
Ru1 Ru 0.000 0.000 0.425
# crystal system: tetragonal
# V: 33.12 Å³ per atom
# M_tot: 8.8 Bohr magnetons per cell


Version Q
# Rb2CaRu2, relaxed, DFT PBE
data_Rb2CaRu2
_chemical_formula_sum 'Rb4 Ca2 Ru4'
_cell_length_a 7.482
_cell_length_b 7.482
_cell_length_c 6.046
_cell_angle_alpha 90.00
_cell_angle_beta 90.00
_cell_angle_gamma 90.00
_space_group_name_H-M_alt 'P 4/m b m'
_space_group_IT_number 127
_space_group_name_Hall '-P 4 2ab'
loop_
_atom_site_label
_atom_site_type_symbol
_atom_site_fract_x
_atom_site_fract_y
_atom_site_fract_z
Rb1 Rb 0.174 0.326 0.000
Ca1 Ca 0.000 0.000 0.500
Ru1 Ru 0.108 0.608 0.500
# crystal system: tetragonal
# V: 33.84 Å³ per atom
# M_tot: 6.6 Bohr magnetons per cell


What should be chosen as the most stable of them? Choose version Q.


Version P
# RbCaRu3, relaxed, DFT PBE
data_RbCaRu3
_chemical_formula_sum 'Rb1 Ca1 Ru3'
_cell_length_a 5.106
_cell_length_b 5.106
_cell_length_c 5.106
_cell_angle_alpha 90.00
_cell_angle_beta 90.00
_cell_angle_gamma 90.00
_space_group_name_H-M_alt 'P m -3 m'
_space_group_IT_number 221
_space_group_name_Hall '-P 4 2 3'
loop_
_atom_site_label
_atom_site_type_symbol
_atom_site_fract_x
_atom_site_fract_y
_atom_site_fract_z
Rb1 Rb 0.000 0.000 0.000
Ca1 Ca 0.500 0.500 0.500
Ru1 Ru 0.000 0.500 0.500
# crystal system: cubic
# V: 26.63 Å³ per atom
# M_tot: 5.3 Bohr magnetons per cell


Version Q
# RbCaRu3, relaxed, DFT PBE
data_RbCaRu3
_chemical_formula_sum 'Rb1 Ca1 Ru3'
_cell_length_a 4.917
_cell_length_b 4.917
_cell_length_c 4.917
_cell_angle_alpha 90.00
_cell_angle_beta 90.00
_cell_angle_gamma 90.00
_space_group_name_H-M_alt 'P m -3 m'
_space_group_IT_number 221
_space_group_name_Hall '-P 4 2 3'
loop_
_atom_site_label
_atom_site_type_symbol
_atom_site_fract_x
_atom_site_fract_y
_atom_site_fract_z
Rb1 Rb 0.000 0.000 0.000
Ca1 Ca 0.500 0.500 0.500
Ru1 Ru 0.000 0.000 0.500
# crystal system: cubic
# V: 23.77 Å³ per atom
# M_tot: 4.6 Bohr magnetons per cell


What should be chosen as the most stable of them? Choose version P.


Version P
# RbSr2CaRu, relaxed, DFT PBE
data_RbSr2CaRu
_chemical_formula_sum 'Rb1 Sr2 Ca1 Ru1'
_cell_length_a 5.836
_cell_length_b 5.836
_cell_length_c 6.482
_cell_angle_alpha 90.00
_cell_angle_beta 90.00
_cell_angle_gamma 90.00
_space_group_name_H-M_alt 'P 4/m m m'
_space_group_IT_number 123
_space_group_name_Hall '-P 4 2'
loop_
_atom_site_label
_atom_site_type_symbol
_atom_site_fract_x
_atom_site_fract_y
_atom_site_fract_z
Rb1 Rb 0.000 0.000 0.000
Sr1 Sr 0.000 0.500 0.500
Ca1 Ca 0.500 0.500 0.000
Ru1 Ru 0.000 0.000 0.500
# crystal system: tetragonal
# V: 44.16 Å³ per atom
# M_tot: 0.0 Bohr magnetons per cell


Version Q
# RbSr2CaRu, relaxed, DFT PBE
data_RbSr2CaRu
_chemical_formula_sum 'Rb1 Sr2 Ca1 Ru1'
_cell_length_a 6.160
_cell_length_b 6.160
_cell_length_c 5.822
_cell_angle_alpha 90.00
_cell_angle_beta 90.00
_cell_angle_gamma 90.00
_space_group_name_H-M_alt 'P 4/m m m'
_space_group_IT_number 123
_space_group_name_Hall '-P 4 2'
loop_
_atom_site_label
_atom_site_type_symbol
_atom_site_fract_x
_atom_site_fract_y
_atom_site_fract_z
Rb1 Rb 0.000 0.000 0.000
Sr1 Sr 0.000 0.500 0.000
Ca1 Ca 0.000 0.000 0.500
Ru1 Ru 0.500 0.500 0.500
# crystal system: tetragonal
# V: 44.19 Å³ per atom
# M_tot: 0.2 Bohr magnetons per cell


What should be chosen as the most stable of them? Choose version P.


Version P
# RbCa3S, relaxed, DFT PBE
data_RbCa3S
_chemical_formula_sum 'Rb1 Ca3 S1'
_cell_length_a 5.842
_cell_length_b 5.842
_cell_length_c 5.842
_cell_angle_alpha 90.00
_cell_angle_beta 90.00
_cell_angle_gamma 90.00
_space_group_name_H-M_alt 'P m -3 m'
_space_group_IT_number 221
_space_group_name_Hall '-P 4 2 3'
loop_
_atom_site_label
_atom_site_type_symbol
_atom_site_fract_x
_atom_site_fract_y
_atom_site_fract_z
Rb1 Rb 0.000 0.000 0.000
Ca1 Ca 0.000 0.500 0.500
S1 S 0.500 0.500 0.500
# crystal system: cubic
# V: 39.87 Å³ per atom
# M_tot: 0.0 Bohr magnetons per cell


Version Q
# RbCa3S, relaxed, DFT PBE
data_RbCa3S
_chemical_formula_sum 'Rb1 Ca3 S1'
_cell_length_a 6.136
_cell_length_b 6.136
_cell_length_c 6.136
_cell_angle_alpha 90.00
_cell_angle_beta 90.00
_cell_angle_gamma 90.00
_space_group_name_H-M_alt 'P m -3 m'
_space_group_IT_number 221
_space_group_name_Hall '-P 4 2 3'
loop_
_atom_site_label
_atom_site_type_symbol
_atom_site_fract_x
_atom_site_fract_y
_atom_site_fract_z
Rb1 Rb 0.000 0.000 0.000
Ca1 Ca 0.000 0.000 0.500
S1 S 0.500 0.500 0.500
# crystal system: cubic
# V: 46.21 Å³ per atom
# M_tot: 2.9 Bohr magnetons per cell


What should be chosen as the most stable of them? Choose version P.